Record 1
The following is a DFT calculation (PBE-GGA) of a geometry-optimized PmYNb2O8 structure.

POSCAR file:
```
PmYNb2O8
1.0
5.307 0.000 0.000
0.000 5.307 0.000
-2.654 -2.654 5.650
O Nb Pm Y
8 2 1 1
direct
0.588 0.662 0.674
0.422 0.338 0.180
0.758 0.841 0.180
0.159 0.578 0.820
0.988 0.412 0.326
0.662 0.242 0.820
0.338 0.914 0.326
0.086 0.012 0.674
0.500 0.500 0.000
0.250 0.750 0.500
0.000 0.000 0.000
0.750 0.250 0.500
```

Computed properties:
For the calculated volume, the calculation gives 159 Å³/cell. For the uncorrected formation energy, the calculation gives -36.938 eV per formula unit. Its space group is I-4, No. 82.

---

Record 2
The following is a DFT calculation (PBE-GGA) of a geometry-optimized PmY2NbO8 structure.

POSCAR file:
```
PmY2NbO8
1.0
-2.157 -3.128 0.066
2.996 -2.150 -4.028
4.581 -3.053 5.033
O Pm Y Nb
8 1 2 1
direct
0.500 0.740 0.500
0.500 0.215 0.000
0.500 0.785 0.000
0.000 0.240 0.785
0.000 0.240 0.215
0.000 0.760 0.215
0.500 0.260 0.500
0.000 0.760 0.785
0.000 0.000 0.500
0.500 0.500 0.249
0.500 0.500 0.751
0.000 0.000 0.000
```

Computed properties:
For the calculated volume, the calculation gives 155 Å³/cell. For the uncorrected formation energy, the calculation gives -33.408 eV per formula unit. Its space group is Pmmm, No. 47.

---

Record 3
The following is a DFT calculation (PBE-GGA) of a geometry-optimized Pr2NbO structure.

POSCAR file:
```
Pr2NbO
1.0
-3.170 1.117 -0.489
-2.574 -1.385 1.730
-0.773 6.042 7.018
Nb Pr O
1 2 1
direct
0.000 0.000 0.000
0.890 0.890 0.329
0.110 0.110 0.671
0.500 0.500 0.500
```

Computed properties:
For the calculated volume, the calculation gives 91 Å³/cell. For the uncorrected formation energy, the calculation gives -2.556 eV per formula unit. Its space group is R-3m, No. 166.

---

Record 4
The following is a DFT calculation (PBE-GGA) of a geometry-optimized Pr5Nb2O12 structure.

POSCAR file:
```
Pr5Nb2O12
1.0
-5.123 2.943 1.525
4.080 -2.072 5.499
3.098 6.702 -2.530
Nb O Pr
2 12 5
direct
0.238 0.000 0.000
0.762 0.000 0.000
0.576 0.679 0.920
0.499 0.998 0.183
0.406 0.311 0.577
0.001 0.002 0.187
0.594 0.689 0.423
0.424 0.321 0.080
0.501 0.002 0.817
0.999 0.998 0.813
0.905 0.311 0.577
0.103 0.679 0.920
0.897 0.321 0.080
0.095 0.689 0.423
0.692 0.384 0.830
0.000 0.000 0.500
0.305 0.611 0.639
0.308 0.616 0.170
0.695 0.389 0.361
```

Computed properties:
For the calculated volume, the calculation gives 294 Å³/cell. For the uncorrected formation energy, the calculation gives -59.656 eV per formula unit. Its space group is C2/m, No. 12.

---

Record 5
The following is a DFT calculation (PBE-GGA) of a geometry-optimized Pr2Nb2O7 structure.

POSCAR file:
```
Pr2Nb2O7
1.0
-6.472 -0.133 -3.907
-5.594 -4.631 2.107
-6.313 2.838 3.044
Pr O Nb
4 14 4
direct
0.625 0.625 0.125
0.125 0.625 0.625
0.625 0.625 0.625
0.625 0.125 0.625
0.500 0.500 0.500
0.209 0.791 0.209
0.459 0.041 0.459
0.791 0.209 0.791
0.750 0.750 0.750
0.791 0.209 0.209
0.459 0.041 0.041
0.791 0.791 0.209
0.041 0.041 0.459
0.041 0.459 0.459
0.209 0.209 0.791
0.209 0.791 0.791
0.041 0.459 0.041
0.459 0.459 0.041
0.625 0.125 0.125
0.125 0.125 0.125
0.125 0.625 0.125
0.125 0.125 0.625
```

Computed properties:
For the calculated volume, the calculation gives 306 Å³/cell. For the uncorrected formation energy, the calculation gives -31.458 eV per formula unit. Its space group is Fd-3m, No. 227.

---

Record 6
The following is a DFT calculation (PBE-GGA) of a geometry-optimized Pr3NbO7 structure.

POSCAR file:
```
Pr3NbO7
1.0
6.773 0.099 0.000
-2.253 6.388 0.000
0.000 0.000 7.770
O Nb Pr
14 2 6
direct
0.957 0.705 0.456
0.705 0.957 0.544
0.638 0.362 0.250
0.920 0.678 0.020
0.362 0.638 0.750
0.939 0.061 0.250
0.371 0.629 0.250
0.678 0.920 0.980
0.080 0.322 0.520
0.295 0.043 0.044
0.043 0.295 0.956
0.061 0.939 0.750
0.322 0.080 0.480
0.629 0.371 0.750
0.998 0.998 0.500
0.002 0.002 0.000
0.998 0.537 0.739
0.463 0.002 0.761
0.461 0.461 0.500
0.537 0.998 0.261
0.539 0.539 0.000
0.002 0.463 0.239
```

Computed properties:
For the calculated volume, the calculation gives 338 Å³/cell. For the energy above the lowest structure with this stoichiometry, the calculation gives 0.0000 eV/atom. For the uncorrected formation energy, the calculation gives -34.934 eV per formula unit. Its space group is C222_1, No. 20.

---

Record 7
The following is a DFT calculation (PBE-GGA) of a geometry-optimized PrNb4O8 structure.

POSCAR file:
```
PrNb4O8
1.0
5.262 0.000 -2.839
-3.397 4.921 0.000
0.367 0.254 6.976
O Nb Pr
8 4 1
direct
0.977 0.241 0.217
0.519 0.759 0.783
0.464 0.732 0.195
0.536 0.268 0.805
0.977 0.736 0.217
0.023 0.264 0.783
0.023 0.759 0.783
0.481 0.241 0.217
0.500 0.500 0.000
0.500 0.000 0.000
0.000 0.500 0.000
0.000 0.000 0.000
0.000 0.500 0.500
```

Computed properties:
For the calculated volume, the calculation gives 188 Å³/cell. For the uncorrected formation energy, the calculation gives -30.622 eV per formula unit. Its space group is R-3m, No. 166.

---

Record 8
The following is a DFT calculation (PBE-GGA) of a geometry-optimized PrNbO4 structure.

POSCAR file:
```
PrNbO4
1.0
6.057 -0.275 1.984
-3.257 5.115 1.984
-0.159 -0.275 6.372
Nb Pr O
2 2 8
direct
0.375 0.125 0.250
0.625 0.875 0.750
0.875 0.625 0.250
0.125 0.375 0.750
0.367 0.304 0.436
0.196 0.133 0.064
0.804 0.867 0.936
0.740 0.304 0.064
0.804 0.240 0.564
0.196 0.760 0.436
0.260 0.696 0.936
0.633 0.696 0.564
```

Computed properties:
For the calculated volume, the calculation gives 198 Å³/cell. For the uncorrected formation energy, the calculation gives -17.970 eV per formula unit. Its space group is I4_1/amd, No. 141.

---

Record 9
The following is a DFT calculation (PBE-GGA) of a geometry-optimized Pr3NbO7 structure.

POSCAR file:
```
Pr3NbO7
1.0
-6.666 -0.381 0.848
3.115 -5.289 2.761
0.634 3.884 6.725
Pr Nb O
6 2 14
direct
0.478 0.929 0.750
0.522 0.071 0.250
0.000 0.000 0.500
0.929 0.478 0.750
0.071 0.522 0.250
0.000 0.000 0.000
0.500 0.500 0.000
0.500 0.500 0.500
0.846 0.108 0.750
0.814 0.561 0.466
0.561 0.814 0.034
0.439 0.186 0.966
0.561 0.814 0.466
0.431 0.431 0.250
0.186 0.439 0.966
0.154 0.892 0.250
0.108 0.846 0.750
0.439 0.186 0.534
0.569 0.569 0.750
0.892 0.154 0.250
0.186 0.439 0.534
0.814 0.561 0.034
```

Computed properties:
For the calculated volume, the calculation gives 329 Å³/cell. For the energy above the lowest structure with this stoichiometry, the calculation gives 0.0097 eV/atom. For the uncorrected formation energy, the calculation gives -34.828 eV per formula unit. Its space group is Cmcm, No. 63.

---

Record 10
The following is a DFT calculation (PBE-GGA) of a geometry-optimized Pr6NbO12 structure.

POSCAR file:
```
Pr6NbO12
1.0
-2.863 -1.652 5.930
-4.423 -3.055 -4.147
4.900 -4.699 -0.105
Pr O Nb
6 12 1
direct
0.389 0.860 0.703
0.140 0.297 0.611
0.703 0.389 0.860
0.611 0.140 0.297
0.297 0.611 0.140
0.860 0.703 0.389
0.933 0.705 0.039
0.295 0.961 0.067
0.443 0.177 0.589
0.177 0.589 0.443
0.961 0.067 0.295
0.823 0.411 0.557
0.705 0.039 0.933
0.557 0.823 0.411
0.067 0.295 0.961
0.039 0.933 0.705
0.411 0.557 0.823
0.589 0.443 0.177
0.000 0.000 0.000
```

Computed properties:
For the calculated volume, the calculation gives 301 Å³/cell. For the uncorrected formation energy, the calculation gives -59.408 eV per formula unit. Its space group is R-3, No. 148.

---

Record 11
The following is a DFT calculation (PBE-GGA) of a geometry-optimized RbPrNb2O7 structure.

POSCAR file:
```
RbPrNb2O7
1.0
-2.944 -11.371 1.866
0.744 -8.561 8.223
-2.373 11.092 -3.577
Nb O Pr Rb
4 14 2 2
direct
0.644 0.148 0.495
0.153 0.648 0.505
0.847 0.352 0.495
0.356 0.852 0.505
0.507 0.069 0.438
0.132 0.569 0.562
0.571 0.071 0.000
0.904 0.904 0.500
0.824 0.250 0.574
0.493 0.931 0.562
0.429 0.429 0.500
0.096 0.096 0.500
0.868 0.431 0.438
0.904 0.404 0.000
0.429 0.929 0.000
0.176 0.750 0.426
0.571 0.571 0.500
0.096 0.596 0.000
0.759 0.750 0.009
0.241 0.250 0.991
0.000 0.000 0.000
0.500 0.500 0.000
```

Computed properties:
For the calculated volume, the calculation gives 347 Å³/cell. For the uncorrected formation energy, the calculation gives -30.003 eV per formula unit. Its space group is Imma, No. 74.

---

Record 12
The following is a DFT calculation (PBE-GGA) of a geometry-optimized Pr2Nb2S7O30 structure.

POSCAR file:
```
Pr2Nb2S7O30
1.0
7.268 0.000 0.000
0.000 13.134 0.000
0.000 0.000 13.134
O S Pr Nb
60 14 4 4
direct
0.778 0.565 0.935
0.323 0.961 0.790
0.926 0.655 0.155
0.258 0.673 0.173
0.677 0.461 0.710
0.448 0.868 0.210
0.222 0.935 0.435
0.880 0.606 0.735
0.120 0.265 0.606
0.448 0.290 0.632
0.323 0.710 0.539
0.259 0.430 0.577
0.880 0.235 0.106
0.677 0.539 0.290
0.259 0.923 0.070
0.448 0.132 0.790
0.778 0.435 0.065
0.455 0.934 0.566
0.259 0.570 0.423
0.677 0.790 0.039
0.871 0.991 0.640
0.742 0.827 0.673
0.120 0.106 0.765
0.545 0.434 0.934
0.552 0.790 0.868
0.794 0.197 0.697
0.448 0.710 0.368
0.129 0.640 0.009
0.455 0.066 0.434
0.258 0.327 0.827
0.206 0.697 0.803
0.794 0.803 0.303
0.120 0.894 0.235
0.677 0.210 0.961
0.552 0.368 0.290
0.323 0.039 0.210
0.129 0.509 0.140
0.259 0.077 0.930
0.074 0.845 0.655
0.323 0.290 0.461
0.741 0.577 0.570
0.120 0.735 0.394
0.741 0.423 0.430
0.545 0.566 0.066
0.880 0.765 0.894
0.206 0.303 0.197
0.741 0.930 0.923
0.871 0.860 0.509
0.871 0.140 0.491
0.880 0.394 0.265
0.926 0.345 0.845
0.871 0.009 0.360
0.742 0.173 0.327
0.222 0.065 0.565
0.074 0.155 0.345
0.129 0.360 0.991
0.552 0.210 0.132
0.129 0.491 0.860
0.741 0.070 0.077
0.552 0.632 0.710
0.707 0.179 0.067
0.707 0.821 0.933
0.107 0.378 0.878
0.707 0.567 0.679
0.293 0.067 0.821
0.893 0.878 0.622
0.293 0.321 0.567
0.107 0.622 0.122
0.707 0.433 0.321
0.293 0.933 0.179
0.293 0.679 0.433
0.659 0.500 0.000
0.341 0.000 0.500
0.893 0.122 0.378
0.403 0.803 0.697
0.597 0.303 0.803
0.597 0.697 0.197
0.403 0.197 0.303
0.018 0.364 0.136
0.982 0.136 0.636
0.018 0.636 0.864
0.982 0.864 0.364
```

Computed properties:
For the calculated volume, the calculation gives 1254 Å³/cell. For the uncorrected formation energy, the calculation gives -71.987 eV per formula unit. Its space group is P-42_1m, No. 113.

---

Record 13
The following is a DFT calculation (PBE-GGA) of a geometry-optimized PrTiNbO6 structure.

POSCAR file:
```
PrTiNbO6
1.0
-4.965 0.201 1.723
3.363 -3.474 2.069
2.748 6.898 7.114
O Pr Nb Ti
12 2 2 2
direct
0.634 0.005 0.357
0.995 0.366 0.143
0.366 0.372 0.857
0.628 0.995 0.857
0.366 0.995 0.643
0.634 0.628 0.143
0.005 0.372 0.643
0.372 0.005 0.143
0.628 0.634 0.643
0.372 0.366 0.357
0.005 0.634 0.857
0.995 0.628 0.357
0.000 0.000 0.500
0.000 0.000 0.000
0.667 0.333 0.750
0.333 0.667 0.250
0.333 0.667 0.750
0.667 0.333 0.250
```

Computed properties:
For the calculated volume, the calculation gives 246 Å³/cell. For the uncorrected formation energy, the calculation gives -27.047 eV per formula unit. Its space group is P-31c, No. 163.

---

Record 14
The following is a DFT calculation (PBE-GGA) of a geometry-optimized PrZr2NbO8 structure.

POSCAR file:
```
PrZr2NbO8
1.0
-2.693 -0.539 -4.173
4.151 -0.554 -2.724
-0.228 -6.655 1.006
O Zr Pr Nb
8 2 1 1
direct
0.199 0.801 0.786
0.801 0.199 0.214
0.325 0.324 0.500
0.675 0.676 0.500
0.801 0.199 0.786
0.705 0.705 0.000
0.199 0.801 0.214
0.295 0.295 0.000
0.500 0.500 0.754
0.500 0.500 0.246
0.000 0.000 0.500
0.000 0.000 0.000
```

Computed properties:
For the calculated volume, the calculation gives 168 Å³/cell. For the uncorrected formation energy, the calculation gives -36.806 eV per formula unit. Its space group is Cmmm, No. 65.

---

Record 15
The following is a DFT calculation (PBE-GGA) of a geometry-optimized NbPtO2 structure.

POSCAR file:
```
NbPtO2
1.0
4.093 0.000 0.000
0.000 4.093 0.000
2.047 2.047 6.356
O Pt Nb
4 2 2
direct
0.375 0.433 0.750
0.875 0.817 0.750
0.183 0.625 0.250
0.567 0.125 0.250
0.750 0.250 0.500
0.000 0.000 0.000
0.250 0.750 0.500
0.500 0.500 0.000
```

Computed properties:
For the calculated volume, the calculation gives 106 Å³/cell. For the energy above the lowest structure with this stoichiometry, the calculation gives 0.4227 eV/atom. For the uncorrected formation energy, the calculation gives -3.922 eV per formula unit. Its space group is I-42d, No. 122.

---

Record 16
The following is a DFT calculation (PBE-GGA) of a geometry-optimized NbPtO structure.

POSCAR file:
```
NbPtO
1.0
3.769 0.000 0.000
0.000 3.756 0.000
0.000 0.000 6.410
Pt Nb O
2 2 2
direct
0.500 0.500 0.045
0.000 0.000 0.955
0.000 0.500 0.683
0.500 0.000 0.317
0.500 0.500 0.551
0.000 0.000 0.449
```

Computed properties:
For the calculated volume, the calculation gives 91 Å³/cell. For the uncorrected formation energy, the calculation gives -3.727 eV per formula unit. Its space group is Pmmn, No. 59.